Entry 1:
First-principles (PBE-GGA) data for a relaxed structure of Na2PbAu2, as listed in the Alexandria database.

It has space group P4/mbm (No. 127), with a = 8.547 Å, b = 8.547 Å, c = 3.175 Å, α = 90.00°, β = 90.00° and γ = 90.00°. The asymmetric unit holds Na at (0.127, 0.373, 0.000), Pb at (0.000, 0.000, 0.000) and Au at (0.170, 0.670, 0.500).

For the total energy, the calculation gives -2.72 eV/atom. The calculation puts the polymorph energy (0 for the lowest one) at 0.68 eV/f.u. As for the formation energy: -0.14 eV per atom.


Entry 2:
First-principles (PBE-GGA) data for a relaxed structure of La4Pm2Sn3O2, as listed in the Alexandria database.

It has space group I4/mmm (No. 139), with a = 4.878 Å, b = 4.878 Å, c = 26.319 Å, α = 90.00°, β = 90.00° and γ = 90.00°. The asymmetric unit holds La at (0.000, 0.500, 0.084), Pm at (0.000, 0.000, 0.197), Sn at (0.000, 0.000, 0.320), Sn at (0.000, 0.000, 0.500) and O at (0.000, 0.000, 0.105).

For the total energy, the calculation gives -6.14 eV/atom. Its uncorrected formation energy is -1.49 eV per atom.


Entry 3:
First-principles (PBE-GGA) data for a relaxed structure of Cs2HgCl5, as listed in the Alexandria database.

It has space group I4mm (No. 107), with a = 7.803 Å, b = 7.803 Å, c = 9.756 Å, α = 90.00°, β = 90.00° and γ = 90.00°. The asymmetric unit holds Cs at (0.000, 0.500, 0.000), Hg at (0.000, 0.000, 0.286), Cl at (0.000, 0.000, 0.558) and Cl at (0.227, 0.227, 0.244).

For the total energy, the calculation gives -2.59 eV/atom. Its uncorrected formation energy is -1.18 eV per atom.


Entry 4:
First-principles (PBE-GGA) data for a relaxed structure of Na6DyTl12, as listed in the Alexandria database.

It has space group R-3 (No. 148, hexagonal axes), with a = 12.2318 Å, b = 12.2318 Å, c = 13.2372 Å, α = 90.00°, β = 90.00° and γ = 120.00°. The asymmetric unit holds Na at (0.0159, 0.4214, 0.2146), Dy at (0.0000, 0.0000, 0.5000), Tl at (0.0435, 0.1846, 0.3188) and Tl at (0.0543, 0.8624, 0.9032).

For the total energy, the calculation gives -2.20 eV/atom. As for the formation energy: -0.05 eV per atom.


Entry 5:
First-principles (PBE-GGA) data for a relaxed structure of Cr4PtCl, as listed in the Alexandria database.

It has space group F-43m (No. 216), with a = 6.865 Å, b = 6.865 Å, c = 6.865 Å, α = 90.00°, β = 90.00° and γ = 90.00°. The asymmetric unit holds Cr at (0.125, 0.125, 0.125), Pt at (0.250, 0.250, 0.750) and Cl at (0.000, 0.000, 0.500).

For the total energy, the calculation gives -7.05 eV/atom. Its uncorrected formation energy is 0.68 eV per atom.


Entry 6:
First-principles (PBE-GGA) data for a relaxed structure of Dy2HoAg3S6, as listed in the Alexandria database.

It has space group C2/m (No. 12), with a = 15.327 Å, b = 4.076 Å, c = 11.912 Å, α = 90.00°, β = 118.78° and γ = 90.00°. The asymmetric unit holds Dy at (0.166, 0.000, 0.333), Ho at (0.000, 0.500, 0.000), Ag at (0.000, 0.500, 0.500), Ag at (0.168, 0.000, 0.835), S at (0.026, 0.000, 0.865), S at (0.141, 0.500, 0.470) and S at (0.192, 0.500, 0.196).

For the total energy, the calculation gives -5.24 eV/atom. Its uncorrected formation energy is -1.31 eV per atom.